DFT (PBE-GGA) results for an optimized crystal structure of V2BiRuBr.

Unit cell a=5.253 b=5.703 c=5.253 alpha=90.00 beta=90.00 gamma=90.00
Sites, in units of the cell vectors:
Ru 0.500 0.500 0.500
Bi 0.000 0.000 0.000
Br 0.000 0.500 0.000
V 0.000 0.000 0.500
V 0.500 0.000 0.000

For the total magnetization, the calculation gives 9.13 μB per cell. The value obtained for the uncorrected formation energy is 1994 meV/atom.

DFT (PBE-GGA) results for an optimized crystal structure of Pr3PdCl3.

Unit cell a=10.343 b=10.343 c=10.343 alpha=109.47 beta=109.47 gamma=109.47
Sites, in units of the cell vectors:
Pr 0.983 0.491 0.241
Pr 0.509 0.017 0.259
Pr 0.250 0.009 0.491
Pr 0.991 0.750 0.009
Pr 0.991 0.241 0.483
Pr 0.759 0.009 0.017
Pr 0.741 0.483 0.491
Pr 0.759 0.750 0.241
Pr 0.517 0.259 0.009
Pr 0.250 0.241 0.259
Pr 0.741 0.259 0.750
Pr 0.509 0.491 0.750
Pd 0.750 0.500 0.000
Pd 0.500 0.250 0.500
Pd 0.750 0.250 0.250
Pd 0.000 0.000 0.250
Cl 0.250 0.000 0.999
Cl 0.750 0.750 0.750
Cl 0.499 0.750 0.000
Cl 0.000 0.250 0.000
Cl 0.250 0.750 0.250
Cl 0.500 0.500 0.250
Cl 0.250 0.250 0.750
Cl 0.250 0.501 0.500
Cl 0.750 0.000 0.500
Cl 0.001 0.500 0.750
Cl 0.000 0.750 0.501
Cl 0.500 0.999 0.750

For the total magnetization, the calculation gives 0.00 μB per cell. The value obtained for the uncorrected formation energy is -1510 meV/atom.

DFT (PBE-GGA) results for an optimized crystal structure of Sr2CaPa.

Unit cell a=3.595 b=3.595 c=13.912 alpha=82.58 beta=82.58 gamma=60.00
Sites, in units of the cell vectors:
Sr 0.085 0.085 0.746
Sr 0.915 0.915 0.254
Ca 0.500 0.500 0.500
Pa 0.000 0.000 0.000

For the total magnetization, the calculation gives 0.62 μB per cell. As for the calculated formation energy: 0.63 eV per atom.

DFT (PBE-GGA) results for an optimized crystal structure of Dy2P4Ir3.

Unit cell a=5.611 b=5.611 c=6.418 alpha=101.96 beta=101.96 gamma=121.74
Sites, in units of the cell vectors:
Dy 0.644 0.644 0.288
Dy 0.356 0.356 0.712
P 0.004 0.683 0.687
P 0.683 0.004 0.687
P 0.996 0.317 0.313
P 0.317 0.996 0.313
Ir 0.500 0.000 0.000
Ir 0.000 0.000 0.000
Ir 0.000 0.500 0.000

For the total magnetization, the calculation gives 0.00 μB per cell. As for the calculated formation energy: -0.77 eV per atom.

DFT (PBE-GGA) results for an optimized crystal structure of Pa2Ga8Ni.

Unit cell a=4.294 b=4.294 c=11.116 alpha=90.00 beta=90.00 gamma=90.00
Sites, in units of the cell vectors:
Pa 0.000 0.000 0.307
Pa 0.000 0.000 0.693
Ga 0.000 0.500 0.500
Ga 0.500 0.000 0.500
Ga 0.500 0.500 0.308
Ga 0.500 0.500 0.692
Ga 0.000 0.500 0.119
Ga 0.500 0.000 0.119
Ga 0.000 0.500 0.881
Ga 0.500 0.000 0.881
Ni 0.000 0.000 0.000

For the total magnetization, the calculation gives 0.00 μB per cell. As for the calculated formation energy: -0.41 eV per atom.

DFT (PBE-GGA) results for an optimized crystal structure of W5Se.

Unit cell a=4.912 b=4.912 c=4.703 alpha=90.00 beta=90.00 gamma=120.00
Sites, in units of the cell vectors:
W 0.656 0.000 0.000
W 0.344 0.344 0.000
W 0.000 0.656 0.000
W 0.667 0.333 0.500
W 0.333 0.667 0.500
Se 0.000 0.000 0.500

For the total magnetization, the calculation gives 0.00 μB per cell. The value obtained for the energy above the most stable polymorph in this dataset is 327.3 meV/atom. The value obtained for the uncorrected formation energy is 571 meV/atom.

DFT (PBE-GGA) results for an optimized crystal structure of La2BiIr.

Unit cell a=4.418 b=4.418 c=7.758 alpha=73.46 beta=73.46 gamma=60.00
Sites, in units of the cell vectors:
Ir 0.500 0.500 0.500
Bi 0.000 0.000 0.000
La 0.763 0.763 0.710
La 0.237 0.237 0.290

For the total magnetization, the calculation gives 0.00 μB per cell. As for the calculated formation energy: -0.75 eV per atom.

DFT (PBE-GGA) results for an optimized crystal structure of NaCd3O.

Unit cell a=4.792 b=4.792 c=4.792 alpha=90.00 beta=90.00 gamma=90.00
Sites, in units of the cell vectors:
Na 0.500 0.500 0.500
O 0.000 0.000 0.000
Cd 0.000 0.500 0.000
Cd 0.000 0.000 0.500
Cd 0.500 0.000 0.000

For the total magnetization, the calculation gives 0.00 μB per cell. The value obtained for the energy above the most stable polymorph in this dataset is 0.0 meV/atom. The value obtained for the uncorrected formation energy is -88 meV/atom.

DFT (PBE-GGA) results for an optimized crystal structure of Ba2CaHg.

Unit cell a=4.333 b=4.333 c=12.133 alpha=79.71 beta=79.71 gamma=60.00
Sites, in units of the cell vectors:
Ba 0.069 0.069 0.793
Ba 0.264 0.264 0.208
Ca 0.500 0.500 0.499
Hg 0.667 0.667 0.000

For the total magnetization, the calculation gives 0.00 μB per cell. The value obtained for the energy above the most stable polymorph in this dataset is 126.9 meV/atom. As for the calculated formation energy: -0.13 eV per atom.

DFT (PBE-GGA) results for an optimized crystal structure of LiZr2Cu6.

Unit cell a=2.782 b=7.492 c=7.492 alpha=60.00 beta=89.96 gamma=89.96
Sites, in units of the cell vectors:
Li 0.000 0.000 0.000
Zr 0.000 0.333 0.333
Zr 0.000 0.667 0.667
Cu 0.499 0.672 0.000
Cu 0.501 0.000 0.328
Cu 0.501 0.328 0.000
Cu 0.500 0.672 0.328
Cu 0.499 0.000 0.672
Cu 0.500 0.328 0.672

For the total magnetization, the calculation gives 0.00 μB per cell. As for the calculated formation energy: -0.05 eV per atom.

DFT (PBE-GGA) results for an optimized crystal structure of TiTeIrN2.

Unit cell a=3.838 b=3.838 c=6.103 alpha=90.00 beta=90.00 gamma=90.00
Sites, in units of the cell vectors:
N 0.000 0.500 0.000
N 0.500 0.000 0.000
Ir 0.500 0.500 0.500
Te 0.000 0.000 0.500
Ti 0.000 0.000 0.000

For the total magnetization, the calculation gives 1.26 μB per cell. The value obtained for the energy above the most stable polymorph in this dataset is 152.8 meV/atom. The value obtained for the uncorrected formation energy is 817 meV/atom.

DFT (PBE-GGA) results for an optimized crystal structure of LaY2Mg.

Unit cell a=4.905 b=3.615 c=7.962 alpha=63.04 beta=90.00 gamma=90.00
Sites, in units of the cell vectors:
Y 0.000 0.003 0.996
Y 0.500 0.260 0.240
Mg 0.500 0.744 0.757
La 0.000 0.494 0.507

For the total magnetization, the calculation gives 0.00 μB per cell. As for the calculated formation energy: 0.01 eV per atom.

Number 1: D(E_F) 1.43 states/eV per atom. Number 2: D(E_F) 0.63 states/eV per atom. Number 3: D(E_F) 1.96 states/eV per atom. Number 4: D(E_F) 0.40 states/eV per atom. Number 5: D(E_F) 0.87 states/eV per atom. Number 6: D(E_F) 0.89 states/eV per atom. Number 7: D(E_F) 0.44 states/eV per atom. Number 8: D(E_F) 0.72 states/eV per atom. Number 9: D(E_F) 1.56 states/eV per atom. Number 10: D(E_F) 0.67 states/eV per atom. Number 11: D(E_F) 0.93 states/eV per atom. Number 12: D(E_F) 1.33 states/eV per atom.